[1]
12
Lattice="3.397 0.000 0.000 -1.698 2.942 0.000 0.000 0.000 28.913" Properties=species:S:1:pos:R:3 comment="Sb2RuPb, optimized geometry, DFT GGA-PBE" space_group=R3m volume_a3_per_cell=288.91 dft_energy_ev_per_atom=-5.0990 n_ef_per_ev_cell=11.0 pbc="T T T"
Sb 0.000 0.000 0.000
Sb 0.000 0.000 6.749
Sb 0.000 1.961 19.275
Sb 0.000 1.961 26.024
Sb 1.698 0.981 9.638
Sb 1.698 0.981 16.386
Ru 0.000 0.000 14.615
Ru 0.000 1.961 4.978
Ru 1.698 0.981 24.253
Pb 0.000 0.000 22.116
Pb 0.000 1.961 12.479
Pb 1.698 0.981 2.841

=====

[2]
14
Lattice="16.652 0.000 0.000 0.000 3.371 0.000 -4.033 0.000 7.153" Properties=species:S:1:pos:R:3 comment="Ho2Er2Sc3, optimized geometry, DFT GGA-PBE" polymorph_energy_ev_per_atom=0.0000 space_group=C2/m volume_a3_per_cell=401.53 dft_energy_ev_per_atom=-5.1896 n_ef_per_ev_cell=26.4 pbc="T T T"
Ho -0.509 0.000 2.886
Ho 4.802 1.686 4.267
Ho 7.816 1.686 2.886
Ho 13.128 0.000 4.267
Er -0.866 1.686 5.930
Er 5.159 0.000 1.223
Er 7.460 0.000 5.930
Er 13.484 1.686 1.223
Sc 0.000 1.686 0.000
Sc 2.288 1.686 2.184
Sc 2.004 0.000 4.969
Sc 8.326 0.000 0.000
Sc 10.614 0.000 2.184
Sc 10.330 1.686 4.969

=====

[3]
4
Lattice="2.819 0.000 0.000 0.000 2.819 0.000 0.000 0.000 7.635" Properties=species:S:1:pos:R:3 comment="AlAgOs2, optimized geometry, DFT GGA-PBE" space_group=P4mm volume_a3_per_cell=60.66 dft_energy_ev_per_atom=-7.2161 n_ef_per_ev_cell=2.4 pbc="T T T"
Al 0.000 0.000 0.000
Ag 1.409 1.409 5.641
Os 0.000 0.000 3.479
Os 1.409 1.409 1.785

=====

[4]
5
Lattice="4.848 0.000 0.000 0.000 4.848 0.000 0.000 0.000 3.993" Properties=species:S:1:pos:R:3 comment="BeCuPt2Rh, optimized geometry, DFT GGA-PBE" space_group=P4/mmm volume_a3_per_cell=93.83 dft_energy_ev_per_atom=-4.4120 n_ef_per_ev_cell=5.8 pbc="T T T"
Be 0.000 0.000 0.000
Cu 2.424 2.424 0.000
Pt 0.000 2.424 1.996
Pt 2.424 0.000 1.996
Rh 0.000 0.000 1.996

=====

[5]
9
Lattice="-4.343 4.343 6.303 4.343 -4.343 6.303 4.343 4.343 -6.303" Properties=species:S:1:pos:R:3 comment="Cs2KRb2Hg4, optimized geometry, DFT GGA-PBE" space_group=I4/mmm volume_a3_per_cell=475.55 dft_energy_ev_per_atom=-0.7699 n_ef_per_ev_cell=5.8 pbc="T T T"
Cs 4.343 0.000 3.151
Cs 0.000 4.343 3.151
K 0.000 0.000 0.000
Rb 0.000 0.000 3.791
Rb 0.000 0.000 8.815
Hg 2.568 2.568 0.000
Hg 1.775 -1.775 6.303
Hg -1.775 1.775 6.303
Hg 1.775 1.775 6.303

=====

[6]
16
Lattice="0.000 7.444 12.124 3.452 0.000 12.124 3.452 7.444 0.000" Properties=species:S:1:pos:R:3 comment="Rb2SmSnS4, optimized geometry, DFT GGA-PBE" space_group=Fddd volume_a3_per_cell=623.08 dft_energy_ev_per_atom=-4.4390 n_ef_per_ev_cell=6.5 pbc="T T T"
Rb 2.589 5.583 1.469
Rb 4.315 9.305 7.531
Rb 2.589 5.583 16.717
Rb 4.315 9.305 22.779
Sm 0.863 1.861 3.031
Sm 6.041 13.026 21.217
Sn 2.589 5.583 9.093
Sn 4.315 9.305 15.155
S 2.635 3.356 4.298
S 4.269 7.078 10.360
S 2.543 7.810 4.298
S 2.543 3.356 13.888
S 4.361 11.531 10.360
S 4.361 7.078 19.951
S 2.635 7.810 13.888
S 4.269 11.531 19.951

=====

[7]
8
Lattice="4.007 0.000 0.000 0.000 4.007 0.000 0.000 0.000 8.577" Properties=species:S:1:pos:R:3 comment="ReMo2Pb, optimized geometry, DFT GGA-PBE" space_group=I-4m2 volume_a3_per_cell=137.69 dft_energy_ev_per_atom=-8.7492 n_ef_per_ev_cell=8.6 pbc="T T T"
Re 0.000 0.000 0.000
Re 2.003 2.003 4.289
Mo 0.000 0.000 4.289
Mo 0.000 2.003 6.433
Mo 2.003 0.000 2.144
Mo 2.003 2.003 0.000
Pb 0.000 2.003 2.144
Pb 2.003 0.000 6.433

=====

[8]
12
Lattice="5.105 0.000 0.000 0.056 5.727 0.000 2.447 1.655 7.152" Properties=species:S:1:pos:R:3 comment="Li4InAg7, optimized geometry, DFT GGA-PBE" polymorph_energy_ev_per_atom=0.0000 space_group=P-1 volume_a3_per_cell=209.07 dft_energy_ev_per_atom=-2.6964 n_ef_per_ev_cell=3.4 pbc="T T T"
Li 1.672 1.524 2.407
Li 3.339 4.407 4.802
Li 4.268 2.974 2.349
Li 5.936 5.858 4.745
In 2.552 0.000 0.000
Ag 0.025 1.451 0.016
Ag 1.702 4.392 2.454
Ag 3.337 1.565 4.689
Ag 2.580 2.863 0.000
Ag 4.270 5.817 2.463
Ag 5.906 2.989 4.697
Ag 7.582 5.931 7.136

=====

[9]
15
Lattice="3.768 0.000 0.000 -1.884 3.263 0.000 0.000 0.000 29.821" Properties=species:S:1:pos:R:3 comment="LaPm2C2, optimized geometry, DFT GGA-PBE" space_group=R-3m volume_a3_per_cell=366.71 dft_energy_ev_per_atom=-6.6244 n_ef_per_ev_cell=4.5 pbc="T T T"
La 0.000 0.000 0.000
La 0.000 2.176 19.881
La 1.884 1.088 9.940
Pm 0.000 0.000 6.978
Pm 0.000 0.000 22.843
Pm 0.000 2.176 12.903
Pm 0.000 2.176 26.858
Pm 1.884 1.088 2.963
Pm 1.884 1.088 16.918
C 0.000 0.000 11.724
C 0.000 0.000 18.097
C 0.000 2.176 1.784
C 0.000 2.176 8.157
C 1.884 1.088 21.664
C 1.884 1.088 28.037

=====

[10]
8
Lattice="5.284 0.000 0.000 -2.642 4.576 0.000 0.000 0.000 5.098" Properties=species:S:1:pos:R:3 comment="CaOsF6, optimized geometry, DFT GGA-PBE" space_group=P312 volume_a3_per_cell=123.27 dft_energy_ev_per_atom=-5.5440 n_ef_per_ev_cell=7.1 pbc="T T T"
Ca 0.000 0.000 0.000
Os 2.642 1.525 2.549
F 1.830 0.167 3.727
F 1.059 1.501 1.371
F 3.454 0.167 1.371
F 1.871 2.908 3.727
F 4.225 1.501 3.727
F 3.413 2.908 1.371

=====

[11]
3
Lattice="5.258 0.000 0.000 -2.629 4.553 0.000 0.000 0.000 3.150" Properties=species:S:1:pos:R:3 comment="PaHgSb, optimized geometry, DFT GGA-PBE" polymorph_energy_ev_per_atom=0.2286 space_group=P3m1 volume_a3_per_cell=75.42 dft_energy_ev_per_atom=-4.6764 n_ef_per_ev_cell=4.1 pbc="T T T"
Pa 0.000 0.000 0.000
Hg 2.629 1.518 1.570
Sb 0.000 3.036 1.577

=====

[12]
16
Lattice="7.688 0.000 0.000 0.000 7.688 0.000 0.000 0.000 7.688" Properties=species:S:1:pos:R:3 comment="EuZnSnBi, optimized geometry, DFT GGA-PBE" space_group=F-43m volume_a3_per_cell=454.45 dft_energy_ev_per_atom=-5.0886 n_ef_per_ev_cell=7.9 pbc="T T T"
Eu 0.000 0.000 0.000
Eu 0.000 3.844 3.844
Eu 3.844 0.000 3.844
Eu 3.844 3.844 0.000
Zn 1.922 1.922 5.766
Zn 1.922 5.766 1.922
Zn 5.766 1.922 1.922
Zn 5.766 5.766 5.766
Sn 0.000 0.000 3.844
Sn 0.000 3.844 0.000
Sn 3.844 0.000 0.000
Sn 3.844 3.844 3.844
Bi 1.922 1.922 1.922
Bi 1.922 5.766 5.766
Bi 5.766 1.922 5.766
Bi 5.766 5.766 1.922

=====

[13]
5
Lattice="4.650 0.000 0.000 0.000 4.650 0.000 0.000 0.000 4.514" Properties=species:S:1:pos:R:3 comment="TiMn2IrS, optimized geometry, DFT GGA-PBE" space_group=P4/mmm volume_a3_per_cell=97.60 dft_energy_ev_per_atom=-6.6414 n_ef_per_ev_cell=2.8 pbc="T T T"
Ti 0.000 0.000 0.000
Mn 0.000 2.325 0.000
Mn 2.325 0.000 0.000
Ir 0.000 0.000 2.257
S 2.325 2.325 2.257

=====

[14]
5
Lattice="5.109 0.000 0.000 0.000 5.109 0.000 0.000 0.000 4.776" Properties=species:S:1:pos:R:3 comment="GeRuSeBr2, optimized geometry, DFT GGA-PBE" polymorph_energy_ev_per_atom=0.0000 space_group=P4/mmm volume_a3_per_cell=124.68 dft_energy_ev_per_atom=-3.7834 n_ef_per_ev_cell=4.4 pbc="T T T"
Ge 0.000 0.000 0.000
Ru 2.555 2.555 2.388
Se 2.555 2.555 0.000
Br 0.000 2.555 2.388
Br 2.555 0.000 2.388

=====

[15]
4
Lattice="3.713 0.000 0.000 0.000 3.713 0.000 0.000 0.000 10.015" Properties=species:S:1:pos:R:3 comment="K2TeRh, optimized geometry, DFT GGA-PBE" space_group=P4mm volume_a3_per_cell=138.10 dft_energy_ev_per_atom=-3.3563 n_ef_per_ev_cell=1.9 pbc="T T T"
K 0.000 0.000 0.000
K 1.857 1.857 4.091
Te 1.857 1.857 7.455
Rh 0.000 0.000 6.723

=====

[16]
8
Lattice="7.109 0.000 0.000 0.000 4.111 0.000 -2.385 0.000 7.684" Properties=species:S:1:pos:R:3 comment="La4NiRuCl2, optimized geometry, DFT GGA-PBE" space_group=P2/m volume_a3_per_cell=224.55 dft_energy_ev_per_atom=-5.8453 n_ef_per_ev_cell=2.8 pbc="T T T"
La 1.146 0.000 1.596
La -0.030 2.055 6.145
La 4.755 2.055 1.539
La 3.579 0.000 6.087
Ni 3.555 0.000 0.000
Ru 0.000 2.055 0.000
Cl -1.192 0.000 3.842
Cl 2.362 2.055 3.842

=====

[17]
12
Lattice="3.328 0.000 0.000 -1.664 2.882 0.000 0.000 0.000 29.782" Properties=species:S:1:pos:R:3 comment="Ta2InBr, optimized geometry, DFT GGA-PBE" polymorph_energy_ev_per_atom=0.0000 space_group=R3m volume_a3_per_cell=285.71 dft_energy_ev_per_atom=-6.9585 n_ef_per_ev_cell=9.8 pbc="T T T"
Ta 0.000 0.000 0.000
Ta 0.000 0.000 7.992
Ta 0.000 1.921 19.855
Ta 0.000 1.921 27.847
Ta 1.664 0.961 9.927
Ta 1.664 0.961 17.920
In 0.000 0.000 15.568
In 0.000 1.921 5.640
In 1.664 0.961 25.495
Br 0.000 0.000 21.822
Br 0.000 1.921 11.894
Br 1.664 0.961 1.967

=====

[18]
4
Lattice="3.367 0.000 0.000 0.000 3.367 0.000 0.000 0.000 10.939" Properties=species:S:1:pos:R:3 comment="CaTaBr2, optimized geometry, DFT GGA-PBE" polymorph_energy_ev_per_atom=0.4259 space_group=P4/mmm volume_a3_per_cell=124.01 dft_energy_ev_per_atom=-4.2901 n_ef_per_ev_cell=1.4 pbc="T T T"
Ca 0.000 0.000 0.000
Ta 0.000 0.000 5.469
Br 1.683 1.683 1.755
Br 1.683 1.683 9.184

=====

[19]
6
Lattice="0.000 3.691 3.691 3.691 0.000 3.691 3.691 3.691 0.000" Properties=species:S:1:pos:R:3 comment="LiRePt4, optimized geometry, DFT GGA-PBE" space_group=F-43m volume_a3_per_cell=100.55 dft_energy_ev_per_atom=-6.1646 n_ef_per_ev_cell=6.3 pbc="T T T"
Li 0.000 0.000 0.000
Re 1.845 1.845 1.845
Pt 4.613 2.768 2.768
Pt 2.768 4.613 2.768
Pt 2.768 2.768 4.613
Pt 4.613 4.613 4.613

=====

[20]
12
Lattice="8.463 0.000 0.000 0.000 3.186 0.000 -2.380 0.000 5.888" Properties=species:S:1:pos:R:3 comment="VSi4Mo, optimized geometry, DFT GGA-PBE" polymorph_energy_ev_per_atom=0.0228 space_group=C2/m volume_a3_per_cell=158.75 dft_energy_ev_per_atom=-7.4002 n_ef_per_ev_cell=4.6 pbc="T T T"
V 0.000 0.000 0.000
V 4.231 1.593 0.000
Si 0.610 1.593 1.925
Si -0.590 1.593 4.933
Si 2.441 0.000 0.955
Si 1.241 0.000 3.963
Si 4.841 0.000 1.925
Si 3.642 0.000 4.933
Si 6.672 1.593 0.955
Si 5.473 1.593 3.963
Mo -1.190 0.000 2.944
Mo 3.041 1.593 2.944

=====

[21]
10
Lattice="3.933 0.000 0.000 0.000 3.933 0.000 0.000 0.000 17.112" Properties=species:S:1:pos:R:3 comment="Tl2Ag2Hg, optimized geometry, DFT GGA-PBE" polymorph_energy_ev_per_atom=0.0376 space_group=I4/mmm volume_a3_per_cell=264.64 dft_energy_ev_per_atom=-2.0184 n_ef_per_ev_cell=3.8 pbc="T T T"
Tl 0.000 0.000 1.843
Tl 0.000 0.000 15.269
Tl 1.966 1.966 6.713
Tl 1.966 1.966 10.399
Ag 0.000 1.966 4.278
Ag 0.000 1.966 12.834
Ag 1.966 0.000 4.278
Ag 1.966 0.000 12.834
Hg 0.000 0.000 8.556
Hg 1.966 1.966 0.000

=====

[22]
12
Lattice="7.205 -2.141 0.000 7.205 2.141 0.000 -4.028 0.000 12.214" Properties=species:S:1:pos:R:3 comment="Th5Te5P2, optimized geometry, DFT GGA-PBE" space_group=C2/m volume_a3_per_cell=376.74 dft_energy_ev_per_atom=-6.4320 n_ef_per_ev_cell=8.7 pbc="T T T"
Th 0.000 0.000 0.000
Th 0.001 0.000 4.934
Th 3.978 0.000 2.477
Th 6.404 0.000 9.736
Th 10.381 0.000 7.279
Te 0.959 0.000 8.001
Te 0.937 0.000 11.578
Te 5.191 0.000 6.107
Te 9.445 0.000 0.636
Te 9.423 0.000 4.213
P -2.667 0.000 9.721
P 13.050 0.000 2.493

=====

[23]
8
Lattice="2.755 0.000 0.000 0.000 4.930 0.000 0.000 0.000 9.275" Properties=species:S:1:pos:R:3 comment="Re2PtCl, optimized geometry, DFT GGA-PBE" polymorph_energy_ev_per_atom=0.5422 space_group=Cmmm volume_a3_per_cell=125.96 dft_energy_ev_per_atom=-7.4189 n_ef_per_ev_cell=11.0 pbc="T T T"
Re 0.000 0.000 2.269
Re 0.000 0.000 7.006
Re 1.378 2.465 2.269
Re 1.378 2.465 7.006
Pt 0.000 2.465 4.637
Pt 1.378 0.000 4.637
Cl 0.000 2.465 0.000
Cl 1.378 0.000 0.000

=====

[24]
8
Lattice="5.722 0.000 0.000 0.000 5.722 0.000 0.000 0.000 6.218" Properties=species:S:1:pos:R:3 comment="MnSb2Cl, optimized geometry, DFT GGA-PBE" polymorph_energy_ev_per_atom=0.3224 space_group=I4/mmm volume_a3_per_cell=203.56 dft_energy_ev_per_atom=-4.6934 n_ef_per_ev_cell=3.9 pbc="T T T"
Mn 0.000 0.000 0.000
Mn 2.861 2.861 3.109
Sb 0.000 2.861 0.000
Sb 0.000 2.861 3.109
Sb 2.861 0.000 0.000
Sb 2.861 0.000 3.109
Cl 0.000 0.000 3.109
Cl 2.861 2.861 0.000

=====

[25]
8
Lattice="3.044 0.000 0.000 0.000 3.087 0.000 0.000 0.000 13.974" Properties=species:S:1:pos:R:3 comment="TcPAu2, optimized geometry, DFT GGA-PBE" space_group=Amm2 volume_a3_per_cell=131.32 dft_energy_ev_per_atom=-5.6059 n_ef_per_ev_cell=4.6 pbc="T T T"
Tc 0.000 0.000 0.000
Tc 0.000 1.544 6.987
P 1.522 0.000 7.956
P 1.522 1.544 0.969
Au 0.000 0.000 9.978
Au 0.000 1.544 2.991
Au 1.522 0.000 4.953
Au 1.522 1.544 11.940

=====

[26]
12
Lattice="4.168 0.000 0.000 -2.084 3.610 0.000 0.000 0.000 13.108" Properties=species:S:1:pos:R:3 comment="MnGa2Ir, optimized geometry, DFT GGA-PBE" space_group=R3m volume_a3_per_cell=197.21 dft_energy_ev_per_atom=-6.1963 n_ef_per_ev_cell=5.4 pbc="T T T"
Mn 0.000 0.000 0.000
Mn 0.000 2.406 8.739
Mn 2.084 1.203 4.369
Ga 0.000 0.000 2.840
Ga 0.000 0.000 5.484
Ga 0.000 2.406 1.114
Ga 0.000 2.406 11.579
Ga 2.084 1.203 7.209
Ga 2.084 1.203 9.853
Ir 0.000 0.000 10.456
Ir 0.000 2.406 6.087
Ir 2.084 1.203 1.717

=====

[27]
13
Lattice="-6.169 6.169 2.008 6.169 -6.169 2.008 6.169 6.169 -2.008" Properties=species:S:1:pos:R:3 comment="Li4Ca5Ge4, optimized geometry, DFT GGA-PBE" space_group=I4/m volume_a3_per_cell=305.77 dft_energy_ev_per_atom=-3.2492 n_ef_per_ev_cell=4.8 pbc="T T T"
Li 7.425 1.013 0.000
Li 1.013 4.914 0.000
Li 5.156 1.255 2.008
Li -1.255 5.156 2.008
Ca 2.623 1.607 0.000
Ca 4.563 -3.546 2.008
Ca 0.000 0.000 2.008
Ca 1.607 9.716 0.000
Ca 3.546 4.563 2.008
Ge 5.439 3.064 0.000
Ge 3.105 -0.730 2.008
Ge 3.064 6.900 0.000
Ge 0.730 3.105 2.008